Entry 1:
First-principles (PBE) data for Sn2Pd2I after structural relaxation, as listed in Alexandria via LeMat-Bulk.

Calculated values
The total energy is -41.93 eV per cell. As for the density of states at the Fermi level: 1.706 states/eV/f.u. Its total magnetization is 0.00 μB/f.u. The value obtained for the energy relative to the lowest polymorph listed for this composition is 0.0142 eV/atom.

Cell: 7.850 7.850 3.684 Å, 90.00 90.00 90.00°
Space group P4/mbm (No. 127)
Unique sites:
Sn 0.149 0.351 0.000 (multiplicity 4)
Pd 0.131 0.631 0.500 (multiplicity 4)
I 0.000 0.000 0.500 (multiplicity 2)



Entry 2:
First-principles (PBE) data for SnPdI2 after structural relaxation, as listed in Alexandria via LeMat-Bulk.

Calculated values
The total energy is -36.47 eV per cell. Its total magnetization is 0.00 μB/f.u. The value obtained for the energy relative to the lowest polymorph listed for this composition is 0.0223 eV/atom.

Cell: 4.5115 4.5115 26.8627 Å, 90.00 90.00 120.00°
Space group R-3m (No. 166, hexagonal axes)
Unique sites:
Sn 0.0000 0.0000 0.0000 (multiplicity 3)
Pd 0.0000 0.0000 0.5000 (multiplicity 3)
I 0.0000 0.0000 0.4050 (multiplicity 6)